# LiGaRePdRu | Alexandria via LeMat-Bulk | PBE-GGA | optimized geometry
data_LiGaRePdRu
_space_group_name_H-M_alt 'P 1'
_space_group_IT_number 1
_cell_length_a 7.224
_cell_length_b 7.224
_cell_length_c 2.762
_cell_angle_alpha 100.75
_cell_angle_beta 100.75
_cell_angle_gamma 30.77
loop_
_space_group_symop_operation_xyz
'x,y,z'
loop_
_atom_site_label
_atom_site_type_symbol
_atom_site_fract_x
_atom_site_fract_y
_atom_site_fract_z
_atom_site_occupancy
Li1 Li 0.000 0.000 0.000 1
Ga1 Ga 0.398 0.398 0.397 1
Re1 Re 0.788 0.788 0.789 1
Pd1 Pd 0.587 0.587 0.589 1
Ru1 Ru 0.206 0.206 0.207 1
# space-group type = No. 8
# distance to the lowest polymorph of the same formula = 25 meV/atom

=====

# YNpPb2O6 | Alexandria via LeMat-Bulk | PBE-GGA | optimized geometry
data_YNpPb2O6
_space_group_name_H-M_alt 'P 1'
_space_group_IT_number 1
_cell_length_a 6.000
_cell_length_b 6.126
_cell_length_c 10.494
_cell_angle_alpha 90.00
_cell_angle_beta 124.81
_cell_angle_gamma 90.00
loop_
_space_group_symop_operation_xyz
'x,y,z'
loop_
_atom_site_label
_atom_site_type_symbol
_atom_site_fract_x
_atom_site_fract_y
_atom_site_fract_z
_atom_site_occupancy
Y1 Y 0.000 0.000 0.000 1
Y2 Y 0.000 0.500 0.500 1
Np1 Np 0.500 0.000 0.500 1
Np2 Np 0.500 0.500 0.000 1
Pb1 Pb 0.245 0.031 0.749 1
Pb2 Pb 0.245 0.469 0.249 1
Pb3 Pb 0.755 0.531 0.751 1
Pb4 Pb 0.755 0.969 0.251 1
O1 O 0.162 0.192 0.455 1
O2 O 0.162 0.308 0.955 1
O3 O 0.262 0.709 0.452 1
O4 O 0.262 0.791 0.952 1
O5 O 0.351 0.026 0.257 1
O6 O 0.351 0.474 0.757 1
O7 O 0.649 0.526 0.243 1
O8 O 0.649 0.974 0.743 1
O9 O 0.738 0.209 0.048 1
O10 O 0.738 0.291 0.548 1
O11 O 0.838 0.692 0.045 1
O12 O 0.838 0.808 0.545 1
# formation energy from raw total energies = -2.349 eV per atom
# space-group type = No. 14

=====

# Cs2In4Co | Alexandria via LeMat-Bulk | PBE-GGA | optimized geometry
data_Cs2In4Co
_space_group_name_H-M_alt 'P 1'
_space_group_IT_number 1
_cell_length_a 10.969
_cell_length_b 10.969
_cell_length_c 10.969
_cell_angle_alpha 153.26
_cell_angle_beta 153.26
_cell_angle_gamma 38.17
loop_
_space_group_symop_operation_xyz
'x,y,z'
loop_
_atom_site_label
_atom_site_type_symbol
_atom_site_fract_x
_atom_site_fract_y
_atom_site_fract_z
_atom_site_occupancy
Cs1 Cs 0.172 0.172 0.000 1
Cs2 Cs 0.828 0.828 0.000 1
In1 In 0.000 0.500 0.500 1
In2 In 0.381 0.381 0.000 1
In3 In 0.500 0.000 0.500 1
In4 In 0.619 0.619 0.000 1
Co1 Co 0.500 0.500 0.000 1
# space-group type = No. 139

=====

# KGdH2C2SO9 | Alexandria via LeMat-Bulk | PBE-GGA | optimized geometry
data_KGdH2C2SO9
_space_group_name_H-M_alt 'P 1'
_space_group_IT_number 1
_cell_length_a 6.665
_cell_length_b 8.687
_cell_length_c 14.886
_cell_angle_alpha 90.00
_cell_angle_beta 112.47
_cell_angle_gamma 90.00
loop_
_space_group_symop_operation_xyz
'x,y,z'
loop_
_atom_site_label
_atom_site_type_symbol
_atom_site_fract_x
_atom_site_fract_y
_atom_site_fract_z
_atom_site_occupancy
K1 K 0.033 0.145 0.302 1
K2 K 0.033 0.355 0.802 1
K3 K 0.967 0.645 0.198 1
K4 K 0.967 0.855 0.698 1
Gd1 Gd 0.333 0.243 0.586 1
Gd2 Gd 0.333 0.257 0.086 1
Gd3 Gd 0.667 0.743 0.914 1
Gd4 Gd 0.667 0.757 0.414 1
H1 H 0.035 0.046 0.917 1
H2 H 0.035 0.454 0.417 1
H3 H 0.268 0.041 0.914 1
H4 H 0.268 0.459 0.414 1
H5 H 0.732 0.541 0.586 1
H6 H 0.732 0.959 0.086 1
H7 H 0.965 0.546 0.583 1
H8 H 0.965 0.954 0.083 1
C1 C 0.363 0.536 0.730 1
C2 C 0.363 0.964 0.230 1
C3 C 0.418 0.042 0.782 1
C4 C 0.418 0.458 0.282 1
C5 C 0.582 0.542 0.718 1
C6 C 0.582 0.958 0.218 1
C7 C 0.637 0.036 0.770 1
C8 C 0.637 0.464 0.270 1
S1 S 0.255 0.660 0.023 1
S2 S 0.255 0.840 0.523 1
S3 S 0.745 0.160 0.477 1
S4 S 0.745 0.340 0.977 1
O1 O 0.047 0.731 0.957 1
O2 O 0.047 0.769 0.457 1
O3 O 0.176 0.100 0.941 1
O4 O 0.176 0.400 0.441 1
O5 O 0.217 0.048 0.169 1
O6 O 0.217 0.452 0.669 1
O7 O 0.247 0.010 0.501 1
O8 O 0.247 0.490 0.001 1
O9 O 0.274 0.131 0.727 1
O10 O 0.274 0.369 0.227 1
O11 O 0.290 0.685 0.125 1
O12 O 0.290 0.815 0.625 1
O13 O 0.345 0.611 0.799 1
O14 O 0.345 0.889 0.299 1
O15 O 0.398 0.547 0.346 1
O16 O 0.398 0.953 0.846 1
O17 O 0.435 0.732 0.001 1
O18 O 0.435 0.768 0.501 1
O19 O 0.565 0.232 0.499 1
O20 O 0.565 0.268 0.999 1
O21 O 0.602 0.047 0.154 1
O22 O 0.602 0.453 0.654 1
O23 O 0.655 0.111 0.701 1
O24 O 0.655 0.389 0.201 1
O25 O 0.710 0.185 0.375 1
O26 O 0.710 0.315 0.875 1
O27 O 0.726 0.631 0.773 1
O28 O 0.726 0.869 0.273 1
O29 O 0.753 0.510 0.999 1
O30 O 0.753 0.990 0.499 1
O31 O 0.783 0.548 0.331 1
O32 O 0.783 0.952 0.831 1
O33 O 0.824 0.600 0.559 1
O34 O 0.824 0.900 0.059 1
O35 O 0.953 0.231 0.543 1
O36 O 0.953 0.269 0.043 1
# space-group type = No. 14

=====

# Pr2Th3Pd2 | Alexandria via LeMat-Bulk | PBE-GGA | optimized geometry
data_Pr2Th3Pd2
_space_group_name_H-M_alt 'P 1'
_space_group_IT_number 1
_cell_length_a 6.392
_cell_length_b 6.392
_cell_length_c 9.298
_cell_angle_alpha 109.87
_cell_angle_beta 109.87
_cell_angle_gamma 35.54
loop_
_space_group_symop_operation_xyz
'x,y,z'
loop_
_atom_site_label
_atom_site_type_symbol
_atom_site_fract_x
_atom_site_fract_y
_atom_site_fract_z
_atom_site_occupancy
Pr1 Pr 0.158 0.158 0.301 1
Pr2 Pr 0.842 0.842 0.699 1
Th1 Th 0.378 0.378 0.057 1
Th2 Th 0.500 0.500 0.500 1
Th3 Th 0.622 0.622 0.943 1
Pd1 Pd 0.142 0.142 0.712 1
Pd2 Pd 0.858 0.858 0.288 1
# space-group type = No. 12

=====

# PmSm8Ho2 | Alexandria via LeMat-Bulk | PBE-GGA | optimized geometry
data_PmSm8Ho2
_space_group_name_H-M_alt 'P 1'
_space_group_IT_number 1
_cell_length_a 10.270
_cell_length_b 10.270
_cell_length_c 5.646
_cell_angle_alpha 93.11
_cell_angle_beta 93.11
_cell_angle_gamma 40.07
loop_
_space_group_symop_operation_xyz
'x,y,z'
loop_
_atom_site_label
_atom_site_type_symbol
_atom_site_fract_x
_atom_site_fract_y
_atom_site_fract_z
_atom_site_occupancy
Pm1 Pm 0.000 0.000 0.000 1
Sm1 Sm 0.134 0.600 0.269 1
Sm2 Sm 0.188 0.188 0.231 1
Sm3 Sm 0.400 0.866 0.731 1
Sm4 Sm 0.455 0.455 0.763 1
Sm5 Sm 0.545 0.545 0.237 1
Sm6 Sm 0.600 0.134 0.269 1
Sm7 Sm 0.812 0.812 0.769 1
Sm8 Sm 0.866 0.400 0.731 1
Ho1 Ho 0.285 0.285 0.746 1
Ho2 Ho 0.715 0.715 0.254 1
# space-group type = No. 12
# distance to the lowest polymorph of the same formula = 137 meV/atom

=====

# Be2SbPt2 | Alexandria via LeMat-Bulk | PBE-GGA | optimized geometry
data_Be2SbPt2
_space_group_name_H-M_alt 'P 1'
_space_group_IT_number 1
_cell_length_a 7.191
_cell_length_b 7.191
_cell_length_c 2.823
_cell_angle_alpha 90.00
_cell_angle_beta 90.00
_cell_angle_gamma 90.00
loop_
_space_group_symop_operation_xyz
'x,y,z'
loop_
_atom_site_label
_atom_site_type_symbol
_atom_site_fract_x
_atom_site_fract_y
_atom_site_fract_z
_atom_site_occupancy
Be1 Be 0.130 0.370 0.000 1
Be2 Be 0.370 0.870 0.000 1
Be3 Be 0.630 0.130 0.000 1
Be4 Be 0.870 0.630 0.000 1
Sb1 Sb 0.000 0.000 0.500 1
Sb2 Sb 0.500 0.500 0.500 1
Pt1 Pt 0.150 0.650 0.500 1
Pt2 Pt 0.350 0.150 0.500 1
Pt3 Pt 0.650 0.850 0.500 1
Pt4 Pt 0.850 0.350 0.500 1
# formation energy from raw total energies = -0.359 eV per atom
# space-group type = No. 127
# distance to the lowest polymorph of the same formula = 55 meV/atom

=====

# AcLaNiSn | Alexandria via LeMat-Bulk | PBE-GGA | optimized geometry
data_AcLaNiSn
_space_group_name_H-M_alt 'P 1'
_space_group_IT_number 1
_cell_length_a 5.478
_cell_length_b 5.478
_cell_length_c 5.478
_cell_angle_alpha 60.00
_cell_angle_beta 60.00
_cell_angle_gamma 60.00
loop_
_space_group_symop_operation_xyz
'x,y,z'
loop_
_atom_site_label
_atom_site_type_symbol
_atom_site_fract_x
_atom_site_fract_y
_atom_site_fract_z
_atom_site_occupancy
Ac1 Ac 0.000 0.000 0.000 1
La1 La 0.500 0.500 0.500 1
Ni1 Ni 0.750 0.750 0.750 1
Sn1 Sn 0.250 0.250 0.250 1
# space-group type = No. 216

=====

Number 1: electronic total energy -0.2388 Ha/atom. Number 2: electronic total energy -0.2942 Ha/atom. Number 3: electronic total energy -0.1037 Ha/atom. Number 4: electronic total energy -0.2687 Ha/atom. Number 5: electronic total energy -0.2366 Ha/atom. Number 6: electronic total energy -0.1670 Ha/atom. Number 7: electronic total energy -0.1871 Ha/atom. Number 8: electronic total energy -0.1852 Ha/atom.